(1)
KBaMn2Ru | PBE | relaxed

Structure (CIF):
```
data_KBaMn2Ru
_chemical_formula_sum 'K1 Ba1 Mn2 Ru1'
_cell_length_a 4.964
_cell_length_b 5.777
_cell_length_c 4.964
_cell_angle_alpha 90.00
_cell_angle_beta 90.00
_cell_angle_gamma 90.00
_symmetry_space_group_name_H-M 'P 1'
_symmetry_Int_Tables_number 1
_symmetry_space_group_name_Hall 'P 1'
loop_
_atom_site_label
_atom_site_fract_x
_atom_site_fract_y
_atom_site_fract_z
Mn1 0.000 0.000 0.500
Mn2 0.500 0.000 0.000
Ba1 0.500 0.500 0.500
K1 0.000 0.500 0.000
Ru1 0.000 0.000 0.000
```

Computed properties:
Space-group type: P4/mmm, No. 123
Mass density: 4520 kg/m³
Electronic total energy: -5.30 eV per atom

(2)
KBa2TiMn | PBE | relaxed

Structure (CIF):
```
data_KBa2TiMn
_chemical_formula_sum 'K1 Ba2 Ti1 Mn1'
_cell_length_a 6.618
_cell_length_b 4.727
_cell_length_c 6.618
_cell_angle_alpha 90.00
_cell_angle_beta 90.00
_cell_angle_gamma 90.00
_symmetry_space_group_name_H-M 'P 1'
_symmetry_Int_Tables_number 1
_symmetry_space_group_name_Hall 'P 1'
loop_
_atom_site_label
_atom_site_fract_x
_atom_site_fract_y
_atom_site_fract_z
K1 0.500 0.500 0.500
Ti1 0.000 0.500 0.000
Mn1 0.000 0.000 0.000
Ba1 0.500 0.000 0.000
Ba2 0.000 0.000 0.500
```

Computed properties:
Space-group type: P4/mmm, No. 123
Mass density: 3340 kg/m³
Electronic total energy: -3.83 eV per atom

(3)
KBaMnW2 | PBE | relaxed

Structure (CIF):
```
data_KBaMnW2
_chemical_formula_sum 'K1 Ba1 Mn1 W2'
_cell_length_a 4.599
_cell_length_b 4.599
_cell_length_c 5.977
_cell_angle_alpha 90.00
_cell_angle_beta 90.00
_cell_angle_gamma 90.00
_symmetry_space_group_name_H-M 'P 1'
_symmetry_Int_Tables_number 1
_symmetry_space_group_name_Hall 'P 1'
loop_
_atom_site_label
_atom_site_fract_x
_atom_site_fract_y
_atom_site_fract_z
W1 0.000 0.500 0.000
W2 0.500 0.000 0.000
Mn1 0.000 0.000 0.000
Ba1 0.500 0.500 0.500
K1 0.000 0.000 0.500
```

Computed properties:
Space-group type: P4/mmm, No. 123
Mass density: 7870 kg/m³
Electronic total energy: -6.20 eV per atom

Q: Number 2 is which compound?
A: KBa2TiMn